(1)
Crystalline Pr2TeS at its relaxed geometry, computed with GGA-PBE.

The space group is R-3m. For the energy above the most stable polymorph in this dataset, the calculation gives 0.006 eV/atom. The value obtained for the density of states at the Fermi level is 1.20 states/eV/f.u. The raw total energy comes out at -5.951 eV per atom.

Unit cell a=7.6302 b=7.6302 c=7.6302 alpha=32.54 beta=32.54 gamma=32.54
Closest atoms and distances in Å follow each position.
Element x y z (fractional)
Pr1 0.2354 0.2354 0.2354  3 S 2.88
Pr2 0.7646 0.7646 0.7646  3 S 2.88
Te1 0.0000 0.0000 0.0000  6 Pr 3.25
S1 0.5000 0.5000 0.5000  6 Pr 2.88

=====

(2)
Crystalline Pr3Te2S at its relaxed geometry, computed with GGA-PBE.

The space group is Immm. For the energy above the most stable polymorph in this dataset, the calculation gives 0.000 eV/atom. The value obtained for the density of states at the Fermi level is 3.09 states/eV/f.u. The raw total energy comes out at -5.732 eV per atom.

Unit cell a=7.7743 b=7.7743 c=7.7743 alpha=148.00 beta=133.03 gamma=57.97
Closest atoms and distances in Å follow each position.
Element x y z (fractional)
Pr1 0.0000 0.0000 0.0000  2 S 3.10, 4 Te 3.23
Pr2 0.3614 0.3614 0.0000  2 S 2.85, 2 Te 3.14
Pr3 0.6386 0.6386 0.0000  2 S 2.85, 2 Te 3.14
Te1 0.1775 0.6775 0.5000  6 Pr 3.14-3.29
Te2 0.8225 0.3225 0.5000  6 Pr 3.14-3.29
S1 0.5000 0.0000 0.5000  6 Pr 2.85-3.10

=====

(3)
Crystalline Pr2TeS at its relaxed geometry, computed with GGA-PBE.

The space group is Pbcm. For the energy above the most stable polymorph in this dataset, the calculation gives 0.141 eV/atom. The value obtained for the density of states at the Fermi level is 1.78 states/eV/f.u. The raw total energy comes out at -5.817 eV per atom.

Unit cell a=8.6548 b=7.2055 c=7.4936 alpha=90.00 beta=90.00 gamma=90.00
Closest atoms and distances in Å follow each position.
Element x y z (fractional)
Pr1 0.0989 0.2500 0.0000  4 S 2.96-3.00, 2 Te 3.24
Pr2 0.0989 0.2500 0.5000  4 S 2.96-3.00, 2 Te 3.24
Pr3 0.3383 0.7500 0.0000  2 S 2.93, 4 Te 3.19-3.25
Pr4 0.3383 0.7500 0.5000  2 S 2.93, 4 Te 3.19-3.25
Pr5 0.6617 0.2500 0.0000  2 S 2.93, 4 Te 3.19-3.25
Pr6 0.6617 0.2500 0.5000  2 S 2.93, 4 Te 3.19-3.25
Pr7 0.9011 0.7500 0.0000  4 S 2.96-3.00, 2 Te 3.24
Pr8 0.9011 0.7500 0.5000  4 S 2.96-3.00, 2 Te 3.24
Te1 0.3789 0.1051 0.2500  6 Pr 3.19-3.25
Te2 0.3789 0.3949 0.7500  6 Pr 3.19-3.25
Te3 0.6211 0.6051 0.2500  6 Pr 3.19-3.25
Te4 0.6211 0.8949 0.7500  6 Pr 3.19-3.25
S1 0.1219 0.5749 0.2500  6 Pr 2.93-3.00
S2 0.1219 0.9251 0.7500  6 Pr 2.93-3.00
S3 0.8781 0.0749 0.2500  6 Pr 2.93-3.00
S4 0.8781 0.4251 0.7500  6 Pr 2.93-3.00

=====

(4)
Crystalline PrTeS at its relaxed geometry, computed with GGA-PBE.

The space group is I4mm. For the energy above the most stable polymorph in this dataset, the calculation gives 0.230 eV/atom. The value obtained for the density of states at the Fermi level is 2.17 states/eV/f.u. The raw total energy comes out at -5.255 eV per atom.

Unit cell a=6.1530 b=6.1530 c=6.1530 alpha=143.56 beta=143.56 gamma=52.49
Closest atoms and distances in Å follow each position.
Element x y z (fractional)
Pr1 0.0000 0.0000 0.0000  4 S 2.91
Te1 0.6911 0.6911 0.0000  1 S 3.14, 5 Pr 3.41-3.44
S1 0.4064 0.4064 0.0000  4 Pr 2.91, 1 Te 3.14

=====

(5)
Crystalline PrThTe2S at its relaxed geometry, computed with GGA-PBE.

The space group is P4/nmm. The value obtained for the density of states at the Fermi level is 2.26 states/eV/f.u. The raw total energy comes out at -5.907 eV per atom.

Unit cell a=4.5296 b=4.5296 c=15.6522 alpha=90.00 beta=90.00 gamma=90.00
Closest atoms and distances in Å follow each position.
Element x y z (fractional)
Pr1 0.2500 0.2500 0.1027  4 S 2.78
Pr2 0.7500 0.7500 0.8973  4 S 2.78
Th1 0.2500 0.2500 0.6000  6 Te 3.02-3.31
Th2 0.7500 0.7500 0.4000  6 Te 3.02-3.31
Te1 0.2500 0.2500 0.3885  5 Th 3.21-3.31
Te2 0.2500 0.2500 0.7931  1 Th 3.02
Te3 0.7500 0.7500 0.2069  1 Th 3.02
Te4 0.7500 0.7500 0.6115  5 Th 3.21-3.31
S1 0.2500 0.7500 0.0000  4 Pr 2.78
S2 0.7500 0.2500 0.0000  4 Pr 2.78

=====

(6)
Crystalline Pr4TlTe2S at its relaxed geometry, computed with GGA-PBE.

The space group is P2/m. The value obtained for the density of states at the Fermi level is 3.62 states/eV/f.u. The raw total energy comes out at -5.282 eV per atom.

Unit cell a=7.6723 b=4.3872 c=7.8114 alpha=90.00 beta=108.83 gamma=90.00
Closest atoms and distances in Å follow each position.
Element x y z (fractional)
Pr1 0.2305 0.0000 0.2239  2 S 3.00, 1 Tl 3.11, 3 Te 3.20-3.30
Pr2 0.2441 0.5000 0.7608  1 S 3.04, 2 Tl 3.13, 3 Te 3.16-3.25
Pr3 0.7559 0.5000 0.2392  1 S 3.04, 2 Tl 3.13, 3 Te 3.16-3.25
Pr4 0.7695 0.0000 0.7761  2 S 3.00, 1 Tl 3.11, 3 Te 3.20-3.30
Tl1 0.5000 0.0000 0.0000  6 Pr 3.11-3.13
Te1 0.0000 0.0000 0.5000  6 Pr 3.16-3.20
Te2 0.5000 0.5000 0.5000  6 Pr 3.25-3.30
S1 0.0000 0.5000 0.0000  6 Pr 3.00-3.04

=====

(7)
Crystalline Pr2TmTe2S2 at its relaxed geometry, computed with GGA-PBE.

The space group is I4/mmm. The value obtained for the density of states at the Fermi level is 2.91 states/eV/f.u. The raw total energy comes out at -5.632 eV per atom.

Unit cell a=8.8514 b=8.8514 c=8.8514 alpha=147.11 beta=147.11 gamma=47.21
Closest atoms and distances in Å follow each position.
Element x y z (fractional)
Pr1 0.1172 0.1172 0.0000  4 S 3.15, 1 Te 3.22
Pr2 0.8828 0.8828 0.0000  4 S 3.15, 1 Te 3.22
Tm1 0.5000 0.5000 0.0000  4 S 2.51
Te1 0.3160 0.3160 0.0000  1 Tm 2.99, 1 Pr 3.22
Te2 0.6840 0.6840 0.0000  1 Tm 2.99, 1 Pr 3.22
S1 0.0000 0.5000 0.5000  2 Tm 2.51
S2 0.5000 0.0000 0.5000  2 Tm 2.51

=====

(8)
Crystalline PrYTe2S at its relaxed geometry, computed with GGA-PBE.

The space group is P4/nmm. The value obtained for the density of states at the Fermi level is 1.56 states/eV/f.u. The raw total energy comes out at -5.834 eV per atom.

Unit cell a=4.4777 b=4.4777 c=15.7537 alpha=90.00 beta=90.00 gamma=90.00
Closest atoms and distances in Å follow each position.
Element x y z (fractional)
Pr1 0.2500 0.2500 0.1064  4 S 2.80
Pr2 0.7500 0.7500 0.8936  4 S 2.80
Y1 0.2500 0.2500 0.6105  6 Te 2.91-3.20
Y2 0.7500 0.7500 0.3895  6 Te 2.91-3.20
Te1 0.2500 0.2500 0.4074  5 Y 3.18-3.20
Te2 0.2500 0.2500 0.7950  1 Y 2.91
Te3 0.7500 0.7500 0.2050  1 Y 2.91
Te4 0.7500 0.7500 0.5926  5 Y 3.18-3.20
S1 0.2500 0.7500 0.0000  4 Pr 2.80
S2 0.7500 0.2500 0.0000  4 Pr 2.80

=====

(9)
Crystalline PrYTeS at its relaxed geometry, computed with GGA-PBE.

The space group is R3m. The value obtained for the density of states at the Fermi level is 0.17 states/eV/f.u. The raw total energy comes out at -6.364 eV per atom.

Unit cell a=7.6521 b=7.6521 c=7.6521 alpha=31.27 beta=31.27 gamma=31.27
Closest atoms and distances in Å follow each position.
Element x y z (fractional)
Pr1 0.0000 0.0000 0.0000  3 S 2.91, 3 Te 3.24
Y1 0.1938 0.1938 0.1938  3 S 2.75
Te1 0.7676 0.7676 0.7676  3 Y 3.13, 3 Pr 3.24
S1 0.5900 0.5900 0.5900  3 Y 2.75, 3 Pr 2.91

=====

(10)
Crystalline Pr6ZnTe3S2 at its relaxed geometry, computed with GGA-PBE.

The space group is C2/m. The value obtained for the density of states at the Fermi level is 5.85 states/eV/f.u. The raw total energy comes out at -5.414 eV per atom.

Unit cell a=7.4359 b=7.4359 c=7.7315 alpha=99.21 beta=99.21 gamma=119.81
Closest atoms and distances in Å follow each position.
Element x y z (fractional)
Pr1 0.0860 0.4265 0.7776  2 S 2.94-2.95, 1 Zn 3.01, 3 Te 3.19-3.23
Pr2 0.2324 0.2324 0.2176  2 S 2.93, 1 Zn 2.99, 3 Te 3.19-3.23
Pr3 0.4265 0.0860 0.7776  2 S 2.94-2.95, 1 Zn 3.01, 3 Te 3.19-3.23
Pr4 0.5735 0.9140 0.2224  2 S 2.94-2.95, 1 Zn 3.01, 3 Te 3.19-3.23
Pr5 0.7676 0.7676 0.7824  2 S 2.93, 1 Zn 2.99, 3 Te 3.19-3.23
Pr6 0.9140 0.5735 0.2224  2 S 2.94-2.95, 1 Zn 3.01, 3 Te 3.19-3.23
Zn1 0.5000 0.5000 0.0000  6 Pr 2.99-3.01
Te1 0.0000 0.0000 0.5000  6 Pr 3.19-3.23
Te2 0.3361 0.6639 0.5000  6 Pr 3.19-3.23
Te3 0.6639 0.3361 0.5000  6 Pr 3.19-3.23
S1 0.1667 0.8333 0.0000  6 Pr 2.93-2.95
S2 0.8333 0.1667 0.0000  6 Pr 2.93-2.95